Computed, not measured: a relaxed structure of Pr8Ir5Rh at the PBE level of DFT.

Summary:
- calculated volume (Å³/cell) = 358
- SG = I-4 (82)
- energy relative to the elements (eV per atom) = -0.5672
- magnetic moment (μB per formula unit) = 0.00
- total energy (eV/cell) = -97.83

a b c (Å): 7.750 7.750 7.750
angles (deg): 109.51 109.38 109.51
Atoms (fractional coordinates):
Ir 0.373 0.125 0.997
Ir 0.752 0.624 0.627
Ir 0.003 0.376 0.128
Ir 0.500 0.000 0.500
Ir 0.872 0.875 0.248
Pr 0.624 0.873 0.872
Pr 0.999 0.127 0.751
Pr 0.746 0.248 0.371
Pr 0.128 0.751 0.001
Pr 0.249 0.249 0.376
Pr 0.123 0.752 0.498
Pr 0.629 0.375 0.877
Pr 0.502 0.625 0.254
Rh 0.250 0.500 0.750